# 1
The following is a GGA+U calculation of Sc3MnO after structural relaxation, from the Alexandria database.

Calculated values
V in Å³/atom: 23.217

Structure (CIF):
```
data_Sc3MnO
_space_group_name_H-M_alt 'P m -3 m'
_space_group_IT_number 221
_space_group_name_Hall '-P 4 2 3'
_cell_length_a 4.8782
_cell_length_b 4.8782
_cell_length_c 4.8782
_cell_angle_alpha 90.00
_cell_angle_beta 90.00
_cell_angle_gamma 90.00
loop_
_atom_site_label
_atom_site_fract_x
_atom_site_fract_y
_atom_site_fract_z
Sc1 0.0000 0.0000 0.5000
Mn1 0.0000 0.0000 0.0000
O1 0.5000 0.5000 0.5000
```

# 2
The following is a GGA+U calculation of Sc3MnO7 after structural relaxation, from the Alexandria database.

Calculated values
V in Å³/atom: 11.070

Structure (CIF):
```
data_Sc3MnO7
_space_group_name_H-M_alt 'C 2 2 21'
_space_group_IT_number 20
_cell_length_a 7.0653
_cell_length_b 9.9293
_cell_length_c 6.9432
_cell_angle_alpha 90.00
_cell_angle_beta 90.00
_cell_angle_gamma 90.00
loop_
_space_group_symop_operation_xyz
'x,y,z'
'-x,-y,z+1/2'
'x,-y,-z'
'-x,y,-z+1/2'
'x+1/2,y+1/2,z'
'-x+1/2,-y+1/2,z+1/2'
'x+1/2,-y+1/2,-z'
'-x+1/2,y+1/2,-z+1/2'
loop_
_atom_site_label
_atom_site_fract_x
_atom_site_fract_y
_atom_site_fract_z
Sc1 0.0415 0.0000 0.0000
Sc2 0.2334 0.2725 0.7573
Mn1 0.0019 0.5000 0.5000
O1 0.0000 0.1306 0.2500
O2 0.0000 0.1364 0.7500
O3 0.0000 0.4214 0.7500
O4 0.1965 0.3723 0.0407
O5 0.2077 0.3748 0.4712
```

# 3
The following is a GGA+U calculation of ScMn2O4 after structural relaxation, from the Alexandria database.

Calculated values
V in Å³/atom: 12.280

Structure (CIF):
```
data_ScMn2O4
_space_group_name_H-M_alt 'I m m a'
_space_group_IT_number 74
_space_group_name_Hall '-I 2b 2'
_cell_length_a 6.0379
_cell_length_b 6.2350
_cell_length_c 9.1332
_cell_angle_alpha 90.00
_cell_angle_beta 90.00
_cell_angle_gamma 90.00
loop_
_atom_site_label
_atom_site_fract_x
_atom_site_fract_y
_atom_site_fract_z
Sc1 0.0000 0.0000 0.0000
Mn1 0.0000 0.2500 0.3704
Mn2 0.2500 0.2500 0.7500
O1 0.0000 0.0350 0.7608
O2 0.2299 0.2500 0.9963
```

no.,DFT total energy (eV/cell)
1,-27.45
2,-362.87
3,-228.68